Record 1
An optimized crystal structure of NaP2Pd4, computed with PBE.

**Theoretical density**: 7.545 g/cm3
**Energy of formation from the pure elements**: -498 meV/atom
**Offset from the most stable computed form**: 0 meV/atom

Cell: 6.793 6.793 4.162 Å, 90.00 90.00 144.19°
Fractional coordinates of all 7 atoms:
Na 0.000 0.000 0.000
P 0.414 0.586 0.500
P 0.586 0.414 0.500
Pd 0.173 0.827 0.500
Pd 0.330 0.670 0.000
Pd 0.670 0.330 0.000
Pd 0.827 0.173 0.500

***

Record 2
An optimized crystal structure of NaP2Pd, computed with PBE.

**Theoretical density**: 4.965 g/cm3
**Energy of formation from the pure elements**: 57 meV/atom
**Offset from the most stable computed form**: 427 meV/atom

Cell: 4.490 4.490 4.490 Å, 60.00 60.00 60.00°
Fractional coordinates of all 4 atoms:
Na 0.000 0.000 0.000
P 0.250 0.250 0.250
P 0.750 0.750 0.750
Pd 0.500 0.500 0.500

***

Record 3
An optimized crystal structure of NaP2Pd, computed with PBE.

**Theoretical density**: 4.469 g/cm3
**Energy of formation from the pure elements**: -32 meV/atom
**Offset from the most stable computed form**: 337 meV/atom

Cell: 5.835 5.835 5.835 Å, 101.55 101.55 126.83°
Fractional coordinates of all 8 atoms:
Na 0.000 0.000 0.000
Na 0.750 0.250 0.500
P 0.179 0.625 0.054
P 0.375 0.429 0.554
P 0.571 0.125 0.946
P 0.875 0.821 0.446
Pd 0.250 0.750 0.500
Pd 0.500 0.500 0.000

***

Record 4
An optimized crystal structure of NaP4Pd6, computed with PBE.

**Theoretical density**: 6.995 g/cm3
**Energy of formation from the pure elements**: -355 meV/atom
**Offset from the most stable computed form**: 76 meV/atom

Cell: 6.341 6.341 6.341 Å, 117.54 117.54 94.31°
Fractional coordinates of all 11 atoms:
Na 0.000 0.000 0.000
P 0.149 0.149 0.569
P 0.420 0.851 0.000
P 0.580 0.580 0.431
P 0.851 0.420 0.000
Pd 0.000 0.500 0.500
Pd 0.213 0.515 0.000
Pd 0.485 0.485 0.698
Pd 0.500 0.000 0.500
Pd 0.515 0.213 0.000
Pd 0.787 0.787 0.302

***

Spin magnetization in μB/f.u., matching the order above: 0.00; 0.00; 0.00; 0.00